(1)
A plane-wave DFT calculation with PBE was carried out for a relaxed structure of Pm4GaPbN.

```
14
Lattice="3.4171 -8.1753 0.0000 3.4171 8.1753 0.0000 0.0000 0.0000 6.8469" Properties=species:S:1:pos:R:3 pbc="T T T"
Pm 1.7085 4.0876 0.0000
Pm 1.7085 4.0876 3.4234
Pm 3.4171 6.9382 5.1351
Pm 3.4171 1.4608 5.1351
Pm 1.7085 -4.0876 0.0000
Pm 1.7085 -4.0876 3.4234
Pm 3.4171 -1.4608 1.7117
Pm 3.4171 -6.9382 1.7117
Ga 3.4171 6.2828 1.7117
Ga 3.4171 -6.2828 5.1351
Pb 3.4171 1.7454 1.7117
Pb 3.4171 -1.7454 5.1351
N 3.4171 3.9476 5.1351
N 3.4171 -3.9476 1.7117
```

Results
Formation energy without anion corrections = -5.2 eV/f.u.
Size of the total moment = 0.000 Bohr magnetons per cell

(2)
A plane-wave DFT calculation with PBE was carried out for a relaxed structure of RbGaPbN2.

```
5
Lattice="4.7426 0.0000 0.0000 0.0000 4.7426 0.0000 0.0000 0.0000 5.4777" Properties=species:S:1:pos:R:3 pbc="T T T"
Rb 0.0000 0.0000 0.0000
Ga 2.3713 2.3713 0.0000
Pb 2.3713 2.3713 2.7388
N 0.0000 2.3713 2.7388
N 2.3713 0.0000 2.7388
```

Results
Formation energy without anion corrections = 6.7 eV/f.u.
Size of the total moment = 1.749 Bohr magnetons per cell

(3)
A plane-wave DFT calculation with PBE was carried out for a relaxed structure of GaPbS2N.

```
5
Lattice="5.1738 0.0000 0.0000 0.0000 5.1738 0.0000 0.0000 0.0000 4.0524" Properties=species:S:1:pos:R:3 pbc="T T T"
Ga 0.0000 0.0000 0.0000
Pb 2.5869 2.5869 2.0262
S 0.0000 2.5869 0.0000
S 2.5869 0.0000 0.0000
N 0.0000 0.0000 2.0262
```

Results
Formation energy without anion corrections = 1.8 eV/f.u.
Size of the total moment = 2.021 Bohr magnetons per cell

(4)
A plane-wave DFT calculation with PBE was carried out for a relaxed structure of GaPbSN2.

```
5
Lattice="4.0890 0.0000 0.0000 0.0000 4.0890 0.0000 0.0000 0.0000 5.0586" Properties=species:S:1:pos:R:3 pbc="T T T"
Ga 0.0000 0.0000 0.0000
Pb 2.0445 2.0445 2.5293
S 0.0000 0.0000 2.5293
N 0.0000 2.0445 0.0000
N 2.0445 0.0000 0.0000
```

Results
Formation energy without anion corrections = 4.5 eV/f.u.
Size of the total moment = 2.950 Bohr magnetons per cell

(5)
A plane-wave DFT calculation with PBE was carried out for a relaxed structure of GaPbSN2.

```
5
Lattice="4.4980 0.0000 0.0000 0.0000 4.4980 0.0000 0.0000 0.0000 5.4347" Properties=species:S:1:pos:R:3 pbc="T T T"
Ga 0.0000 0.0000 0.0000
Pb 2.2490 2.2490 2.7174
S 2.2490 2.2490 0.0000
N 0.0000 2.2490 2.7174
N 2.2490 0.0000 2.7174
```

Results
Formation energy without anion corrections = 7.5 eV/f.u.
Size of the total moment = 3.132 Bohr magnetons per cell

(6)
A plane-wave DFT calculation with PBE was carried out for a relaxed structure of GaPbS2N.

```
5
Lattice="5.2827 0.0000 0.0000 0.0000 5.2827 0.0000 0.0000 0.0000 4.5228" Properties=species:S:1:pos:R:3 pbc="T T T"
Ga 0.0000 0.0000 0.0000
Pb 2.6413 2.6413 2.2614
S 0.0000 2.6413 2.2614
S 2.6413 0.0000 2.2614
N 2.6413 2.6413 0.0000
```

Results
Formation energy without anion corrections = 4.7 eV/f.u.
Size of the total moment = 2.152 Bohr magnetons per cell

Which formula does entry 5 have?
GaPbSN2

Look up the formation energy without anion corrections of the fifth one.
7.5 eV/f.u.

The highest formation energy without anion corrections belongs to which entry?
number 5